TlPt2W (PBE-GGA, optimized geometry); energy of formation from the pure elements = 35.9 kJ per mole of atoms; E above lowest polymorph = 0.417 eV/atom; density of states at the Fermi level = 3.106 states/eV per cell
1.0
-2.074 2.074 3.998
2.074 -2.074 3.998
2.074 2.074 -3.998
Tl Pt W
1 2 1
direct
0.000 0.000 0.000 Tl
0.500 0.500 0.000 Pt
0.750 0.250 0.500 Pt
0.250 0.750 0.500 W